A plane-wave DFT calculation with PBE-GGA was carried out for a relaxed structure of KRb2Hg2.

Output
energy above the lowest structure with this stoichiometry	0.000	eV/atom
SG	P4/mbm (127)

abc: 9.441 9.441 5.503
angles: 90.00 90.00 90.00
Atoms (fractional coordinates):
Hg  0.616  0.116  0.000
Hg  0.116  0.384  0.000
Hg  0.384  0.884  0.000
Hg  0.884  0.616  0.000
K  0.500  0.500  0.000
K  0.000  0.000  0.000
Rb  0.328  0.172  0.500
Rb  0.672  0.828  0.500
Rb  0.172  0.672  0.500
Rb  0.828  0.328  0.500


A plane-wave DFT calculation with PBE-GGA was carried out for a relaxed structure of KRbHg2.

Output
energy above the lowest structure with this stoichiometry	0.000	eV/atom
SG	P-1 (2)

abc: 6.949 7.089 7.327
angles: 106.26 102.89 92.74
Atoms (fractional coordinates):
Hg  0.200  0.102  0.295
Hg  0.119  0.709  0.947
Hg  0.881  0.291  0.053
Hg  0.800  0.898  0.705
K  0.758  0.346  0.541
K  0.242  0.654  0.459
Rb  0.676  0.798  0.144
Rb  0.324  0.202  0.856


A plane-wave DFT calculation with PBE-GGA was carried out for a relaxed structure of KRb2Hg2.

Output
energy above the lowest structure with this stoichiometry	0.073	eV/atom
SG	I4/mmm (139)

abc: 6.021 6.021 8.404
angles: 110.99 110.99 90.00
Atoms (fractional coordinates):
Rb  0.750  0.250  0.500
Rb  0.250  0.750  0.500
K  0.000  0.000  0.000
Hg  0.601  0.601  0.202
Hg  0.399  0.399  0.798


A plane-wave DFT calculation with PBE-GGA was carried out for a relaxed structure of K2Rb2HgSb2.

Output
SG	R-3m (166)

abc: 10.901 10.901 10.901
angles: 32.92 32.92 32.92
Atoms (fractional coordinates):
K  0.388  0.388  0.388
K  0.612  0.612  0.612
Hg  0.000  0.000  0.000
Rb  0.208  0.208  0.208
Rb  0.792  0.792  0.792
Sb  0.087  0.087  0.087
Sb  0.913  0.913  0.913


A plane-wave DFT calculation with PBE-GGA was carried out for a relaxed structure of K2Rb2HgSb2.

Output
SG	R-3m (166)

abc: 10.634 10.634 10.634
angles: 34.09 34.09 34.09
Atoms (fractional coordinates):
Sb  0.910  0.910  0.910
Sb  0.090  0.090  0.090
Rb  0.387  0.387  0.387
Rb  0.613  0.613  0.613
K  0.208  0.208  0.208
K  0.792  0.792  0.792
Hg  0.000  0.000  0.000


A plane-wave DFT calculation with PBE-GGA was carried out for a relaxed structure of K2Re2Hg3S8.

Output
SG	C2 (5)
total magnetic moment	0.01	μB per formula unit

abc: 6.635 6.635 10.824
angles: 90.96 90.96 76.08
Atoms (fractional coordinates):
S  0.690  0.828  0.073
S  0.586  0.260  0.263
S  0.172  0.310  0.927
S  0.285  0.876  0.278
S  0.124  0.715  0.722
S  0.740  0.414  0.737
S  0.245  0.221  0.597
S  0.779  0.755  0.403
K  0.068  0.373  0.254
K  0.627  0.932  0.746
Hg  0.694  0.306  0.000
Hg  0.431  0.569  0.500
Hg  0.235  0.765  0.000
Re  0.069  0.409  0.743
Re  0.591  0.931  0.257


A plane-wave DFT calculation with PBE-GGA was carried out for a relaxed structure of KReHg3Se4.

Output
SG	P-43m (215)
total magnetic moment	0.00	μB per formula unit

abc: 7.686 7.686 7.686
angles: 90.00 90.00 90.00
Atoms (fractional coordinates):
Hg  0.000  0.500  0.500
Hg  0.500  0.500  0.000
Hg  0.500  0.000  0.500
Se  0.673  0.327  0.673
Se  0.327  0.327  0.327
Se  0.673  0.673  0.327
Se  0.327  0.673  0.673
K  0.000  0.000  0.000
Re  0.500  0.500  0.500


A plane-wave DFT calculation with PBE-GGA was carried out for a relaxed structure of K2HgS2.

Output
SG	Pbcm (57)

abc: 10.811 8.094 7.290
angles: 90.00 90.00 90.00
Atoms (fractional coordinates):
Hg  0.285  0.164  0.250
Hg  0.715  0.664  0.250
Hg  0.715  0.836  0.750
Hg  0.285  0.336  0.750
S  0.165  0.577  0.750
S  0.394  0.416  0.250
S  0.835  0.077  0.750
S  0.835  0.423  0.250
S  0.606  0.584  0.750
S  0.394  0.084  0.750
S  0.165  0.923  0.250
S  0.606  0.916  0.250
K  0.604  0.250  0.000
K  0.888  0.451  0.750
K  0.396  0.750  0.500
K  0.112  0.951  0.750
K  0.396  0.750  0.000
K  0.604  0.250  0.500
K  0.888  0.049  0.250
K  0.112  0.549  0.250


A plane-wave DFT calculation with PBE-GGA was carried out for a relaxed structure of KScHgS3.

Output
SG	P2_1/m (11)
total magnetic moment	0.00	μB per formula unit

abc: 7.693 3.893 10.847
angles: 90.00 108.80 90.00
Atoms (fractional coordinates):
Hg  0.627  0.750  0.626
Hg  0.373  0.250  0.374
S  0.587  0.750  0.846
S  0.413  0.250  0.154
S  0.049  0.750  0.876
S  0.951  0.250  0.124
S  0.764  0.250  0.540
S  0.236  0.750  0.460
Sc  0.823  0.250  0.886
Sc  0.177  0.750  0.114
K  0.775  0.750  0.293
K  0.225  0.250  0.707


A plane-wave DFT calculation with PBE-GGA was carried out for a relaxed structure of KScHgS3.

Output
SG	Pnma (62)
total magnetic moment	0.00	μB per formula unit

abc: 11.430 3.810 14.296
angles: 90.00 90.00 90.00
Atoms (fractional coordinates):
K  0.697  0.000  0.514
K  0.803  0.500  0.014
K  0.303  0.500  0.486
K  0.197  0.000  0.986
Sc  0.496  0.000  0.772
Sc  0.504  0.500  0.228
Sc  0.004  0.500  0.272
Sc  0.996  0.000  0.728
S  0.102  0.000  0.369
S  0.602  0.000  0.131
S  0.316  0.500  0.142
S  0.528  0.500  0.649
S  0.398  0.500  0.869
S  0.898  0.500  0.631
S  0.184  0.000  0.642
S  0.472  0.000  0.351
S  0.028  0.500  0.851
S  0.816  0.500  0.358
S  0.972  0.000  0.149
S  0.684  0.000  0.858
Hg  0.734  0.500  0.742
Hg  0.766  0.000  0.242
Hg  0.234  0.500  0.758
Hg  0.266  0.000  0.258


A plane-wave DFT calculation with PBE-GGA was carried out for a relaxed structure of K2Si2Hg3S8.

Output
SG	C2 (5)

abc: 6.428 6.428 9.716
angles: 93.52 93.52 82.57
Atoms (fractional coordinates):
S  0.777  0.725  0.453
S  0.394  0.777  0.742
S  0.223  0.606  0.258
S  0.841  0.246  0.255
S  0.761  0.716  0.085
S  0.754  0.159  0.745
S  0.284  0.239  0.915
S  0.275  0.223  0.547
Hg  0.843  0.157  0.500
Hg  0.361  0.639  0.500
Hg  0.522  0.478  0.000
Si  0.430  0.104  0.728
Si  0.896  0.570  0.272
K  0.368  0.065  0.229
K  0.935  0.632  0.771


A plane-wave DFT calculation with PBE-GGA was carried out for a relaxed structure of KSmHgS3.

Output
SG	C2/m (12)
total magnetic moment	0.00	μB per formula unit

abc: 9.088 9.088 8.922
angles: 103.41 103.41 26.27
Atoms (fractional coordinates):
S  0.669  0.669  0.369
S  0.331  0.331  0.631
S  0.669  0.669  0.794
S  0.500  0.500  0.000
S  0.000  0.000  0.500
S  0.331  0.331  0.206
K  0.859  0.859  0.929
K  0.141  0.141  0.071
Hg  0.484  0.484  0.274
Hg  0.516  0.516  0.726
Sm  0.829  0.829  0.416
Sm  0.171  0.171  0.584


Number 1: VASP energy -0.921 eV/atom, ρ 4.14 g/cm³. Number 2: VASP energy -0.911 eV/atom, ρ 5.20 g/cm³. Number 3: VASP energy -0.847 eV/atom, ρ 3.86 g/cm³. Number 4: VASP energy -2.254 eV/atom, ρ 3.38 g/cm³. Number 5: VASP energy -2.255 eV/atom, ρ 3.42 g/cm³. Number 6: VASP energy -4.490 eV/atom, ρ 4.70 g/cm³. Number 7: VASP energy -3.323 eV/atom, ρ 4.18 g/cm³. Number 8: VASP energy -2.993 eV/atom, ρ 3.57 g/cm³. Number 9: VASP energy -4.484 eV/atom, ρ 4.11 g/cm³. Number 10: VASP energy -4.495 eV/atom, ρ 4.06 g/cm³. Number 11: VASP energy -3.797 eV/atom, ρ 4.16 g/cm³. Number 12: VASP energy -4.265 eV/atom, ρ 5.10 g/cm³.